No. 1
First-principles (GGA-PBEsol) data for a relaxed structure of ZnGeIN2, as listed in Alexandria.

Properties
The calculation puts the formation energy (no corrections) at 1033 meV per atom. The total energy comes out at -0.1483 hartree per atom. Its space group is P4/mmm.

Cell: 3.7443 3.7443 6.4776 Å, 90.00 90.00 90.00°
Positions (direct):
I 0.0000 0.0000 0.5000
Ge 0.0000 0.0000 0.0000
Zn 0.5000 0.5000 0.5000
N 0.0000 0.5000 0.0000
N 0.5000 0.0000 0.0000

***

No. 2
First-principles (GGA-PBEsol) data for a relaxed structure of Sm3AuO6, as listed in Alexandria.

Properties
The calculation puts the formation energy (no corrections) at -2708 meV per atom. The total energy comes out at -0.2858 hartree per atom. Its space group is P-1.

Cell: 3.7094 5.5949 7.0177 Å, 90.73 103.08 91.15°
Positions (direct):
Sm 0.6105 0.5286 0.7664
Sm 0.3895 0.4714 0.2336
Sm 0.0000 0.0000 0.5000
Au 0.0000 0.0000 0.0000
O 0.8442 0.6995 0.1176
O 0.1558 0.3005 0.8824
O 0.5162 0.2552 0.5200
O 0.4838 0.7448 0.4800
O 0.1315 0.7910 0.7956
O 0.8685 0.2090 0.2044

***

No. 3
First-principles (GGA-PBEsol) data for a relaxed structure of CdCoTe2, as listed in Alexandria.

Properties
The calculation puts the formation energy (no corrections) at 493 meV per atom. The total energy comes out at -0.1288 hartree per atom. Its space group is Cmmm.

Cell: 3.6394 4.8778 4.8778 Å, 101.57 90.00 90.00°
Each line ends with the local moment (μB).
Positions (direct):
Te 0.0000 0.5000 0.0000  0.00
Te 0.0000 0.0000 0.5000  0.00
Co 0.5000 0.5000 0.5000  1.26
Cd 0.5000 0.0000 0.0000  0.00

***

What did the first record say?
First-principles (GGA-PBEsol) data for a relaxed structure of ZnGeIN2, as listed in Alexandria.

Properties
The calculation puts the formation energy (no corrections) at 1033 meV per atom. The total energy comes out at -0.1483 hartree per atom. Its space group is P4/mmm.

Cell: 3.7443 3.7443 6.4776 Å, 90.00 90.00 90.00°
Positions (direct):
I 0.0000 0.0000 0.5000
Ge 0.0000 0.0000 0.0000
Zn 0.5000 0.5000 0.5000
N 0.0000 0.5000 0.0000
N 0.5000 0.0000 0.0000